Re3W | GGA-PBE | relaxed

Cell and atoms, written as CIF:
```
data_Re3W
_chemical_formula_sum 'Re3 W1'
_space_group_name_H-M_alt 'P 1'
_space_group_IT_number 1
_cell_length_a 9.302
_cell_length_b 9.302
_cell_length_c 9.302
_cell_angle_alpha 17.26
_cell_angle_beta 17.26
_cell_angle_gamma 17.26
loop_
_space_group_symop_operation_xyz
'x,y,z'
loop_
_atom_site_label
_atom_site_type_symbol
_atom_site_fract_x
_atom_site_fract_y
_atom_site_fract_z
_atom_site_occupancy
Re1 Re 0.000 0.000 0.000 1
Re2 Re 0.252 0.252 0.252 1
Re3 Re 0.748 0.748 0.748 1
W1 W 0.500 0.500 0.500 1
```

Output
The calculation puts the electronic total energy at -12.43 eV/atom. Its space-group type is R-3m. The formation energy from the elements is 0.141 eV/atom. Its total moment is 0.000 μB/f.u. As for the density of states at the Fermi level: 0.855 states/eV/atom.